1.
Below is a relaxed structure of KInRh2, with properties calculated at the PBE level.

Unit cell a=5.749 b=5.749 c=5.749 alpha=148.55 beta=124.08 gamma=65.58
Sites, in units of the cell vectors:
In1 0.250 0.750 0.500
K1 0.750 0.250 0.500
Rh1 0.027 0.027 0.000
Rh2 0.473 0.473 0.000

Computed properties:
The final energy is -4.20 eV per atom. The space-group type is Immm (71). As for the energy of formation from the pure elements: 1.8 eV per formula unit.


2.
Below is a relaxed structure of KInRh2, with properties calculated at the PBE level.

Unit cell a=3.024 b=3.024 c=9.173 alpha=90.00 beta=90.00 gamma=90.01
Last column: magnetic moment on the atom in μB.
Sites, in units of the cell vectors:
In1 0.000 0.000 0.440  0.00
K1 0.500 0.500 0.775  0.00
Rh1 0.000 0.000 0.059  0.14
Rh2 0.500 0.500 0.226  0.10

Computed properties:
The final energy is -4.42 eV per atom. The space-group type is P4mm (99). As for the energy of formation from the pure elements: 0.9 eV per formula unit.


3.
Below is a relaxed structure of KInRh2, with properties calculated at the PBE level.

Unit cell a=2.918 b=3.901 c=8.027 alpha=90.00 beta=90.00 gamma=90.00
Sites, in units of the cell vectors:
In1 0.000 0.000 0.428
K1 0.500 0.500 0.779
Rh1 0.000 0.000 0.090
Rh2 0.500 0.500 0.204

Computed properties:
The final energy is -4.46 eV per atom. The space-group type is Pmm2 (25). As for the energy of formation from the pure elements: 0.7 eV per formula unit.


4.
Below is a relaxed structure of KInRh2, with properties calculated at the PBE level.

Unit cell a=4.851 b=4.851 c=6.689 alpha=80.86 beta=80.86 gamma=36.65
Sites, in units of the cell vectors:
In1 0.250 0.250 0.250
K1 0.750 0.750 0.750
Rh1 0.981 0.981 0.095
Rh2 0.519 0.519 0.405

Computed properties:
The final energy is -4.41 eV per atom. The space-group type is C2/m (12). As for the energy of formation from the pure elements: 0.9 eV per formula unit.


5.
Below is a relaxed structure of KInRh2, with properties calculated at the PBE level.

Unit cell a=4.794 b=4.794 c=4.794 alpha=60.00 beta=60.00 gamma=60.00
Sites, in units of the cell vectors:
In1 0.500 0.500 0.500
K1 0.750 0.750 0.750
Rh1 0.000 0.000 0.000
Rh2 0.250 0.250 0.250

Computed properties:
The final energy is -4.09 eV per atom. The space-group type is F-43m (216). As for the energy of formation from the pure elements: 2.2 eV per formula unit.


6.
Below is a relaxed structure of KInRh2, with properties calculated at the PBE level.

Unit cell a=4.265 b=2.905 c=7.664 alpha=81.76 beta=90.00 gamma=90.00
Sites, in units of the cell vectors:
In1 0.000 0.357 0.425
K1 0.500 0.724 0.777
Rh1 0.000 0.976 0.111
Rh2 0.500 0.443 0.187

Computed properties:
The final energy is -4.47 eV per atom. The space-group type is Pm (6). As for the energy of formation from the pure elements: 0.7 eV per formula unit.


7.
Below is a relaxed structure of K4InRh, with properties calculated at the PBE level.

Unit cell a=6.741 b=6.741 c=6.741 alpha=60.00 beta=60.00 gamma=60.00
Sites, in units of the cell vectors:
K1 0.872 0.376 0.376
K2 0.376 0.376 0.872
K3 0.376 0.872 0.376
K4 0.376 0.376 0.376
In1 0.000 0.000 0.000
Rh1 0.750 0.750 0.750

Computed properties:
The final energy is -1.70 eV per atom. The space-group type is F-43m (216). As for the energy of formation from the pure elements: 4.3 eV per formula unit.


8.
Below is a relaxed structure of KInRh2, with properties calculated at the PBE level.

Unit cell a=4.805 b=4.805 c=3.288 alpha=90.00 beta=90.00 gamma=90.00
Sites, in units of the cell vectors:
In1 0.000 0.500 0.500
K1 0.500 0.000 0.500
Rh1 0.000 0.000 0.000
Rh2 0.500 0.500 0.000

Computed properties:
The final energy is -4.20 eV per atom. The space-group type is P4/mmm (123). As for the energy of formation from the pure elements: 1.7 eV per formula unit.


9.
Below is a relaxed structure of KInRh2, with properties calculated at the PBE level.

Unit cell a=3.101 b=5.267 c=4.713 alpha=90.00 beta=90.00 gamma=90.00
Sites, in units of the cell vectors:
In1 0.500 0.000 0.500
K1 0.000 0.500 0.500
Rh1 0.000 0.000 0.000
Rh2 0.500 0.500 0.000

Computed properties:
The final energy is -4.09 eV per atom. The space-group type is Pmmm (47). As for the energy of formation from the pure elements: 2.2 eV per formula unit.


10.
Below is a relaxed structure of KIn2Rh2, with properties calculated at the PBE level.

Unit cell a=8.096 b=8.096 c=3.072 alpha=90.00 beta=90.00 gamma=90.00
Sites, in units of the cell vectors:
K1 0.000 0.000 0.000
K2 0.500 0.500 0.000
Rh1 0.359 0.859 0.000
Rh2 0.859 0.641 0.000
Rh3 0.641 0.141 0.000
Rh4 0.141 0.359 0.000
In1 0.150 0.650 0.500
In2 0.650 0.850 0.500
In3 0.850 0.350 0.500
In4 0.350 0.150 0.500

Computed properties:
The final energy is -4.45 eV per atom. The space-group type is P4/mbm (127). As for the energy of formation from the pure elements: -1.0 eV per formula unit. Its energy above the lowest structure with this stoichiometry is 0.00 eV per formula unit.


11.
Below is a relaxed structure of KInRh2, with properties calculated at the PBE level.

Unit cell a=9.587 b=9.587 c=9.587 alpha=18.77 beta=18.77 gamma=18.77
Sites, in units of the cell vectors:
In1 0.250 0.250 0.250
K1 0.750 0.750 0.750
Rh1 0.988 0.988 0.988
Rh2 0.512 0.512 0.512

Computed properties:
The final energy is -4.35 eV per atom. The space-group type is R-3m (166). As for the energy of formation from the pure elements: 1.2 eV per formula unit.


12.
Below is a relaxed structure of KInSn2Rh, with properties calculated at the PBE level.

Unit cell a=5.696 b=5.651 c=5.696 alpha=90.00 beta=90.00 gamma=90.00
Last column: magnetic moment on the atom in μB.
Sites, in units of the cell vectors:
K1 0.000 0.000 0.000  0.00
Rh1 0.500 0.500 0.500  0.98
Sn1 0.000 0.000 0.500  -0.02
Sn2 0.500 0.000 0.000  -0.01
In1 0.000 0.500 0.000  0.00

Computed properties:
The final energy is -2.20 eV per atom. The space-group type is P4/mmm (123). As for the energy of formation from the pure elements: 8.2 eV per formula unit. Its energy above the lowest structure with this stoichiometry is 8.76 eV per formula unit.


What did the twelfth record say?
Below is a relaxed structure of KInSn2Rh, with properties calculated at the PBE level.

Unit cell a=5.696 b=5.651 c=5.696 alpha=90.00 beta=90.00 gamma=90.00
Last column: magnetic moment on the atom in μB.
Sites, in units of the cell vectors:
K1 0.000 0.000 0.000  0.00
Rh1 0.500 0.500 0.500  0.98
Sn1 0.000 0.000 0.500  -0.02
Sn2 0.500 0.000 0.000  -0.01
In1 0.000 0.500 0.000  0.00

Computed properties:
The final energy is -2.20 eV per atom. The space-group type is P4/mmm (123). As for the energy of formation from the pure elements: 8.2 eV per formula unit. Its energy above the lowest structure with this stoichiometry is 8.76 eV per formula unit.


Which value of energy of formation from the pure elements does entry 6 give? 0.7 eV per formula unit


What is the formula in the sixth record? KInRh2


Which value of energy of formation from the pure elements does entry 12 give? 8.2 eV per formula unit